1.
Material: EuHIr
Method: DFT, PBE
State: relaxed

abc: 4.441 4.217 6.105
angles: 90.00 109.70 90.00
Atoms (fractional coordinates):
1 Eu 0.113 0.250 0.276
2 Eu 0.887 0.750 0.724
3 H 0.447 0.750 0.366
4 H 0.553 0.250 0.634
5 Ir 0.482 0.250 0.887
6 Ir 0.518 0.750 0.113

Computed properties:
Final energy in eV per atom: -7.914
Symmetry: No. 11



2.
Material: Th4PbC2
Method: DFT, PBE
State: relaxed

abc: 15.120 15.120 15.120
angles: 13.99 13.99 13.99
Atoms (fractional coordinates):
1 Th 0.128 0.128 0.128
2 Th 0.271 0.271 0.271
3 Th 0.729 0.729 0.729
4 Th 0.872 0.872 0.872
5 Pb 0.000 0.000 0.000
6 C 0.429 0.429 0.429
7 C 0.571 0.571 0.571

Computed properties:
E_form in eV/atom: -0.3008
Symmetry: No. 166



3.
Material: Co3Ni2H4
Method: DFT, PBE
State: relaxed

abc: 2.596 2.596 10.669
angles: 90.00 90.00 120.00
Atoms (fractional coordinates):
1 Co 0.000 0.000 0.000
2 Co 0.333 0.667 0.590
3 Co 0.667 0.333 0.410
4 Ni 0.333 0.667 0.205
5 Ni 0.667 0.333 0.795
6 H 0.000 0.000 0.301
7 H 0.000 0.000 0.699
8 H 0.333 0.667 0.903
9 H 0.667 0.333 0.097

Computed properties:
Final energy in eV per atom: -5.143
Symmetry: No. 164



4.
Material: Dy4YTm
Method: DFT, PBE
State: relaxed

abc: 6.535 6.535 6.535
angles: 60.00 60.00 60.00
Atoms (fractional coordinates):
1 Dy 0.125 0.125 0.125
2 Dy 0.125 0.125 0.625
3 Dy 0.125 0.625 0.125
4 Dy 0.625 0.125 0.125
5 Y 0.500 0.500 0.500
6 Tm 0.750 0.750 0.750

Computed properties:
E_form in eV/atom: 0.2462
Symmetry: No. 216



5.
Material: MnBe2W
Method: DFT, PBE
State: relaxed

abc: 3.920 3.920 3.920
angles: 60.00 60.00 60.00
Atoms (fractional coordinates):
1 Mn 0.000 0.000 0.000
2 Be 0.250 0.250 0.250
3 Be 0.750 0.750 0.750
4 W 0.500 0.500 0.500

Computed properties:
E_form in eV/atom: 0.2169
Symmetry: No. 225



6.
Material: PmPrS2
Method: DFT, PBE
State: relaxed

abc: 7.407 7.407 7.407
angles: 31.20 31.20 31.20
Atoms (fractional coordinates):
1 Pm 0.000 0.000 0.000
2 Pr 0.178 0.178 0.178
3 S 0.590 0.590 0.590
4 S 0.755 0.755 0.755

Computed properties:
Formation energy from raw total energies in meV per atom: -1974
Symmetry: No. 160



7.
Material: Li2Ta2Ti
Method: DFT, PBE
State: relaxed

abc: 7.382 7.382 2.864
angles: 90.00 90.00 90.00
Atoms (fractional coordinates):
1 Li 0.107 0.393 0.000
2 Li 0.393 0.893 0.000
3 Li 0.607 0.107 0.000
4 Li 0.893 0.607 0.000
5 Ta 0.190 0.690 0.500
6 Ta 0.310 0.190 0.500
7 Ta 0.690 0.810 0.500
8 Ta 0.810 0.310 0.500
9 Ti 0.000 0.000 0.000
10 Ti 0.500 0.500 0.000

Computed properties:
E_form in eV/atom: 0.6087
Symmetry: No. 127



8.
Material: Li2Cu2Br
Method: DFT, PBE
State: relaxed

abc: 6.800 6.800 3.790
angles: 90.00 90.00 90.00
Atoms (fractional coordinates):
1 Li 0.155 0.345 0.000
2 Li 0.345 0.845 0.000
3 Li 0.655 0.155 0.000
4 Li 0.845 0.655 0.000
5 Cu 0.123 0.623 0.500
6 Cu 0.377 0.123 0.500
7 Cu 0.623 0.877 0.500
8 Cu 0.877 0.377 0.500
9 Br 0.000 0.000 0.000
10 Br 0.500 0.500 0.000

Computed properties:
Formation energy from raw total energies in meV per atom: -36
Symmetry: No. 127



9.
Material: Fe6ReMo
Method: DFT, PBE
State: relaxed

abc: 6.252 6.252 10.230
angles: 90.00 90.00 109.75
Atoms (fractional coordinates):
1 Fe 0.000 0.000 0.000
2 Fe 0.000 0.000 0.500
3 Fe 0.122 0.374 0.124
4 Fe 0.122 0.374 0.876
5 Fe 0.124 0.372 0.374
6 Fe 0.124 0.372 0.626
7 Fe 0.249 0.751 0.248
8 Fe 0.249 0.751 0.752
9 Fe 0.372 0.124 0.374
10 Fe 0.372 0.124 0.626
11 Fe 0.374 0.122 0.124
12 Fe 0.374 0.122 0.876
13 Fe 0.500 0.500 0.000
14 Fe 0.500 0.500 0.500
15 Fe 0.626 0.878 0.124
16 Fe 0.626 0.878 0.876
17 Fe 0.628 0.876 0.374
18 Fe 0.628 0.876 0.626
19 Fe 0.751 0.249 0.248
20 Fe 0.751 0.249 0.752
21 Fe 0.876 0.628 0.374
22 Fe 0.876 0.628 0.626
23 Fe 0.878 0.626 0.124
24 Fe 0.878 0.626 0.876
25 Re 0.000 0.000 0.252
26 Re 0.000 0.000 0.748
27 Re 0.252 0.748 0.000
28 Re 0.748 0.252 0.000
29 Mo 0.252 0.748 0.500
30 Mo 0.500 0.500 0.252
31 Mo 0.500 0.500 0.748
32 Mo 0.748 0.252 0.500

Computed properties:
E_form in eV/atom: 0.0712
Symmetry: No. 65



10.
Material: AcCoSn
Method: DFT, PBE
State: relaxed

abc: 4.822 4.822 4.822
angles: 60.00 60.00 60.00
Atoms (fractional coordinates):
1 Ac 0.000 0.000 0.000
2 Co 0.750 0.750 0.750
3 Sn 0.500 0.500 0.500

Computed properties:
E_form in eV/atom: -0.1764
Symmetry: No. 216



11.
Material: Hg2HOs
Method: DFT, PBE
State: relaxed

abc: 4.594 4.594 4.594
angles: 60.00 60.00 60.00
Atoms (fractional coordinates):
1 Hg 0.250 0.250 0.250
2 Hg 0.750 0.750 0.750
3 H 0.000 0.000 0.000
4 Os 0.500 0.500 0.500

Computed properties:
Final energy in eV per atom: -2.396
Symmetry: No. 225



12.
Material: KBaY
Method: DFT, PBE
State: relaxed

abc: 4.014 4.014 10.604
angles: 90.00 90.00 120.00
Atoms (fractional coordinates):
1 K 0.000 0.000 0.000
2 Ba 0.667 0.333 0.621
3 Y 0.333 0.667 0.330

Computed properties:
E_form in eV/atom: 0.3254
Symmetry: No. 156